Material: Li3Co2Si2O8
Method: DFT, GGA+U
State: optimized geometry

Cell: 5.0186 5.5316 6.1363 Å, 90.77 90.13 90.92°
Fractional positions:
Li  0.0000  0.0000  0.0000
Li  0.0024  0.0053  0.5032
Li  0.4861  0.3293  0.9936
Co  0.5022  0.8238  0.2543
Co  0.9802  0.5012  0.7404
Si  0.4845  0.8206  0.7543
Si  0.9935  0.4943  0.2441
O  0.0624  0.3454  0.4623
O  0.0922  0.3466  0.0247
O  0.1222  0.7788  0.2495
O  0.1573  0.8329  0.7507
O  0.5883  0.9770  0.9792
O  0.5939  0.5468  0.7685
O  0.6023  0.9474  0.5282
O  0.6660  0.5281  0.2252

Calculated values
- calculated total energy (eV per atom) = -6.49
- energy above the most stable polymorph in this dataset (meV/atom) = 15.0